First-principles (PBE) data for a geometry-optimized PaNi4 structure, as listed in Alexandria via LeMat-Bulk.

Unit cell a=4.635 b=4.635 c=4.635 alpha=90.00 beta=90.00 gamma=90.00
Fractional positions:
Pa1 0.000 0.000 0.000
Ni1 0.000 0.000 0.500
Ni2 0.000 0.500 0.000
Ni3 0.500 0.000 0.000
Ni4 0.500 0.500 0.500

Summary:
Calculated formation energy (kJ/mol of formula units): 654
Magnetic moment (μB per cell): 0.00
Theoretical density (g cm⁻³): 7.77
Space-group type: Pm-3m, No. 221

First-principles (PBE) data for a geometry-optimized Pa2Ni3 structure, as listed in Alexandria via LeMat-Bulk.

Unit cell a=8.258 b=5.061 c=9.085 alpha=64.25 beta=33.51 gamma=82.24
Fractional positions:
Pa1 0.216 0.784 0.373
Pa2 0.623 0.877 0.466
Pa3 0.784 0.216 0.627
Pa4 0.877 0.623 0.034
Ni1 0.193 0.788 0.055
Ni2 0.195 0.285 0.057
Ni3 0.285 0.195 0.462
Ni4 0.294 0.294 0.706
Ni5 0.544 0.544 0.956
Ni6 0.788 0.193 0.965

Summary:
Calculated formation energy (kJ/mol of formula units): -166
Magnetic moment (μB per cell): 0.00
Theoretical density (g cm⁻³): 12.62
Space-group type: Fdd2, No. 43

First-principles (PBE) data for a geometry-optimized PaNi4 structure, as listed in Alexandria via LeMat-Bulk.

Unit cell a=7.180 b=7.180 c=7.180 alpha=109.47 beta=109.47 gamma=109.47
Fractional positions:
Pa1 0.000 0.000 0.549
Pa2 0.000 0.549 0.000
Pa3 0.451 0.451 0.451
Pa4 0.549 0.000 0.000
Ni1 0.000 0.000 0.205
Ni2 0.000 0.205 0.000
Ni3 0.000 0.352 0.352
Ni4 0.000 0.648 0.648
Ni5 0.205 0.000 0.000
Ni6 0.250 0.500 0.750
Ni7 0.250 0.750 0.500
Ni8 0.352 0.000 0.352
Ni9 0.352 0.352 0.000
Ni10 0.500 0.250 0.750
Ni11 0.500 0.750 0.250
Ni12 0.648 0.000 0.648
Ni13 0.648 0.648 0.000
Ni14 0.750 0.250 0.500
Ni15 0.750 0.500 0.250
Ni16 0.795 0.795 0.795

Summary:
Calculated formation energy (kJ/mol of formula units): -137
Magnetic moment (μB per cell): 0.00
Theoretical density (g cm⁻³): 10.86
Space-group type: I-43m, No. 217

First-principles (PBE) data for a geometry-optimized Pa3Ni2 structure, as listed in Alexandria via LeMat-Bulk.

Unit cell a=10.134 b=6.138 c=11.604 alpha=60.74 beta=31.90 gamma=87.37
Fractional positions:
Pa1 0.000 0.000 0.000
Pa2 0.179 0.752 0.600
Pa3 0.250 0.250 0.250
Pa4 0.650 0.780 0.071
Pa5 0.752 0.179 0.470
Pa6 0.780 0.650 0.498
Ni1 0.273 0.600 0.791
Ni2 0.459 0.914 0.977
Ni3 0.600 0.273 0.336
Ni4 0.914 0.459 0.650

Summary:
Calculated formation energy (kJ/mol of formula units): -45
Magnetic moment (μB per cell): 0.00
Theoretical density (g cm⁻³): 13.51
Space-group type: Fdd2, No. 43

> Which formula does entry 1 have?

PaNi4

> theoretical density of number 3 (PaNi4)?

10.86 g cm⁻³